1.
Here is crystalline LiErAsO at its relaxed geometry from OQMD. Energies are from PBE-GGA.

abc: 3.7501 3.7501 9.7479
angles: 90.00 90.00 90.00
Last column: nearest neighbours and their distance in Å.
Fractional coordinates of all 8 atoms:
Li 0.2500 0.7500 0.0000  4 As 2.62, 4 Li 2.65
Li 0.7500 0.2500 0.0000  4 As 2.62, 4 Li 2.65
Er 0.2500 0.2500 0.3835  4 O 2.19
Er 0.7500 0.7500 0.6165  4 O 2.19
As 0.2500 0.2500 0.8116  4 Li 2.62
As 0.7500 0.7500 0.1884  4 Li 2.62
O 0.2500 0.7500 0.5000  4 Er 2.19
O 0.7500 0.2500 0.5000  4 Er 2.19

Calculated total energy, eV per atom: -5.909
E above lowest polymorph, eV/atom: 0.0000
Symmetry: No. 129


2.
Here is crystalline Nd2TaTeO6 at its relaxed geometry from OQMD. Energies are from PBE-GGA.

abc: 6.1927 5.3828 10.9541
angles: 90.00 124.30 90.00
Last column: nearest neighbours and their distance in Å.
Fractional coordinates of all 20 atoms:
Nd 0.2294 0.0128 0.2334  6 O 2.32-2.59
Nd 0.2294 0.4872 0.7334  6 O 2.32-2.59
Nd 0.7706 0.5128 0.2666  6 O 2.32-2.59
Nd 0.7706 0.9872 0.7666  6 O 2.32-2.59
Ta 0.0000 0.0000 0.5000  6 O 1.97-2.02
Ta 0.0000 0.5000 0.0000  6 O 1.97-2.02
Te 0.5000 0.0000 0.0000  2 O 2.27
Te 0.5000 0.5000 0.5000  2 O 2.27
O 0.0061 0.6316 0.1701  1 Ta 1.97
O 0.0061 0.8684 0.6701  1 Ta 1.97
O 0.1659 0.6774 0.4977  1 Ta 2.02, 1 Te 2.27
O 0.1659 0.8226 0.9977  1 Ta 2.02, 1 Te 2.27
O 0.3495 0.1559 0.6422  1 Ta 2.00
O 0.3495 0.3441 0.1422  1 Ta 2.00
O 0.6505 0.6559 0.8578  1 Ta 2.00
O 0.6505 0.8441 0.3578  1 Ta 2.00
O 0.8341 0.1774 0.0023  1 Ta 2.02, 1 Te 2.27
O 0.8341 0.3226 0.5023  1 Ta 2.02, 1 Te 2.27
O 0.9939 0.1316 0.3299  1 Ta 1.97
O 0.9939 0.3684 0.8299  1 Ta 1.97

Calculated total energy, eV per atom: -8.052
Symmetry: No. 14


3.
Here is crystalline CuAg3 at its relaxed geometry from OQMD. Energies are from PBE-GGA.

abc: 4.9310 4.9310 2.8735
angles: 90.00 90.00 109.41
Last column: nearest neighbours and their distance in Å.
Fractional coordinates of all 4 atoms:
Cu 0.0000 0.0000 0.0000  10 Ag 2.85, 2 Cu 2.87
Ag 0.0000 0.5000 0.5000  8 Ag 2.85-2.87, 4 Cu 2.85
Ag 0.5000 0.0000 0.5000  8 Ag 2.85-2.87, 4 Cu 2.85
Ag 0.5000 0.5000 0.0000  2 Cu 2.85, 10 Ag 2.85-2.87

E_form, eV per atom: 0.08
Calculated total energy, eV per atom: -2.967
Symmetry: No. 65


4.
Here is crystalline ErBeAu4 at its relaxed geometry from OQMD. Energies are from PBE-GGA.

abc: 3.4504 3.4504 9.1896
angles: 90.00 90.00 90.00
Last column: nearest neighbours and their distance in Å.
Fractional coordinates of all 6 atoms:
Er 0.0000 0.0000 0.0000  10 Au 2.98-3.26
Be 0.5000 0.5000 0.5000  10 Au 2.78-2.89
Au 0.0000 0.0000 0.3549  5 Au 2.67-2.89, 4 Be 2.78
Au 0.0000 0.0000 0.6451  5 Au 2.67-2.89, 4 Be 2.78
Au 0.5000 0.5000 0.1855  1 Be 2.89, 4 Au 2.89, 4 Er 2.98
Au 0.5000 0.5000 0.8145  1 Be 2.89, 4 Au 2.89, 4 Er 2.98

Calculated total energy, eV per atom: -3.880
Symmetry: No. 123


5.
Here is crystalline LaHgTeO at its relaxed geometry from OQMD. Energies are from PBE-GGA.

abc: 4.2836 4.2836 10.6353
angles: 90.00 90.00 90.00
Last column: nearest neighbours and their distance in Å.
Fractional coordinates of all 8 atoms:
La 0.2500 0.2500 0.1049  4 O 2.41
La 0.7500 0.7500 0.8951  4 O 2.41
Hg 0.2500 0.7500 0.5000  4 Hg 3.03, 4 Te 3.25
Hg 0.7500 0.2500 0.5000  4 Hg 3.03, 4 Te 3.25
Te 0.2500 0.2500 0.7304  4 Hg 3.25, 4 La 3.50, 4 O 3.58
Te 0.7500 0.7500 0.2696  4 Hg 3.25, 4 La 3.50, 4 O 3.58
O 0.2500 0.7500 0.0000  4 La 2.41
O 0.7500 0.2500 0.0000  4 La 2.41

Calculated total energy, eV per atom: -5.063
E above lowest polymorph, eV/atom: 0.0000
Symmetry: No. 129


6.
Here is crystalline PAuO4 at its relaxed geometry from OQMD. Energies are from PBE-GGA.

abc: 4.6702 5.6275 6.7289
angles: 104.98 91.79 96.67
Last column: nearest neighbours and their distance in Å.
Fractional coordinates of all 12 atoms:
P 0.2339 0.2504 0.2452  4 O 1.56-1.57
P 0.7661 0.7496 0.7548  4 O 1.56-1.57
Au 0.0000 0.0000 0.5000  4 O 2.05-2.06
Au 0.5000 0.5000 0.0000  4 O 2.04-2.05
O 0.0585 0.7331 0.6498  1 P 1.56
O 0.2065 0.2019 0.0038  1 P 1.57
O 0.3423 0.0332 0.3195  1 P 1.56
O 0.4406 0.5019 0.2994  1 P 1.57
O 0.5594 0.4981 0.7006  1 P 1.57
O 0.6577 0.9668 0.6805  1 P 1.56
O 0.7935 0.7981 0.9962  1 P 1.57
O 0.9415 0.2669 0.3502  1 P 1.56

Calculated total energy, eV per atom: -5.936
E above lowest polymorph, eV/atom: 0.0838
Symmetry: No. 2


Question: Which of these has the highest calculated total energy?
Answer: CuAg3


Please write out number 1 again, unchanged.
Here is crystalline LiErAsO at its relaxed geometry from OQMD. Energies are from PBE-GGA.

abc: 3.7501 3.7501 9.7479
angles: 90.00 90.00 90.00
Last column: nearest neighbours and their distance in Å.
Fractional coordinates of all 8 atoms:
Li 0.2500 0.7500 0.0000  4 As 2.62, 4 Li 2.65
Li 0.7500 0.2500 0.0000  4 As 2.62, 4 Li 2.65
Er 0.2500 0.2500 0.3835  4 O 2.19
Er 0.7500 0.7500 0.6165  4 O 2.19
As 0.2500 0.2500 0.8116  4 Li 2.62
As 0.7500 0.7500 0.1884  4 Li 2.62
O 0.2500 0.7500 0.5000  4 Er 2.19
O 0.7500 0.2500 0.5000  4 Er 2.19

Calculated total energy, eV per atom: -5.909
E above lowest polymorph, eV/atom: 0.0000
Symmetry: No. 129


Question: Which value of calculated total energy does entry 5 give?
Answer: -5.063 eV per atom